Below is a relaxed structure of PuNiB2O6, with properties calculated at the PBE+U level.

Values from the calculation:
**Fermi-level density of states**: 4.39 states/eV/f.u.
**E**: -0.3041 Ha/atom

a b c (Å): 9.191 8.764 4.898
angles (deg): 90.00 104.51 90.00
Space group C2/c (No. 15)
Asymmetric unit:
Pu: 0.000 0.192 0.250 x4
Ni: 0.000 0.406 0.750 x4
B: 0.214 0.084 0.778 x8
O: 0.124 0.410 0.153 x8
O: 0.140 0.227 0.673 x8
O: 0.154 0.029 0.026 x8